Record 1
VASP calculation (SCAN) on a crystal of CrAsP2 relaxed with PBEsol.

Output
ΔH_f (0 K)   405 meV/atom
Spin magnetization   2.8 Bohr magnetons per cell
Calculated total energy   -14.439 eV per atom

a b c (Å): 4.789 4.789 4.789
angles (deg): 139.56 125.37 70.13
Positions (direct):
Cr1 0.000 0.000 0.000
As1 0.500 0.500 0.000
P1 0.266 0.766 0.500
P2 0.734 0.234 0.500

Record 2
VASP calculation (SCAN) on a crystal of CrAsP2 relaxed with PBEsol.

Output
ΔH_f (0 K)   615 meV/atom
Spin magnetization   1.7 Bohr magnetons per cell
Calculated total energy   -14.228 eV per atom

a b c (Å): 4.222 4.222 4.222
angles (deg): 60.00 60.00 60.00
Positions (direct):
Cr1 0.000 0.000 0.000
As1 0.750 0.750 0.750
P1 0.250 0.250 0.250
P2 0.500 0.500 0.500

Record 3
VASP calculation (SCAN) on a crystal of Cr2AsP relaxed with PBEsol.

Output
ΔH_f (0 K)   -106 meV/atom
Spin magnetization   12.0 Bohr magnetons per cell
Calculated total energy   -16.946 eV per atom

a b c (Å): 6.576 6.576 6.576
angles (deg): 131.87 131.87 70.43
Positions (direct):
Cr1 0.107 0.625 0.982
Cr2 0.375 0.357 0.482
Cr3 0.643 0.125 0.018
Cr4 0.875 0.893 0.518
As1 0.250 0.750 0.500
As2 0.500 0.500 0.000
P1 0.000 0.000 0.000
P2 0.750 0.250 0.500

Question: calculated total energy of number 1 (CrAsP2)?
Answer: -14.439 eV per atom